Entry 1:
Here is Na2MnPIr after structural relaxation from Alexandria. Energies are from PBE-GGA.

Structure (extended XYZ):
```
5
Lattice="5.1606 0.0000 0.0000 0.0000 5.1606 0.0000 0.0000 0.0000 4.4760" Properties=species:S:1:pos:R:3 pbc="T T T"
Na 0.0000 2.5803 0.0000
Na 2.5803 0.0000 0.0000
Mn 0.0000 0.0000 0.0000
P 2.5803 2.5803 2.2380
Ir 0.0000 0.0000 2.2380
```

Summary:
crystal system = tetragonal
V = 23.84 Å³ per atom
total DFT energy (no corrections) = -4.052 eV per atom
DOS at the Fermi energy = 3.6 states/eV/f.u.


Entry 2:
Here is NaMnP2Ir after structural relaxation from Alexandria. Energies are from PBE-GGA.

Structure (extended XYZ):
```
10
Lattice="3.9694 0.0000 0.0000 0.0000 3.9694 0.0000 0.0000 0.0000 9.7469" Properties=species:S:1:pos:R:3 pbc="T T T"
Na 0.0000 0.0000 0.0000
Na 1.9847 1.9847 4.8734
Mn 0.0000 1.9847 7.3101
Mn 1.9847 0.0000 2.4367
P 0.0000 0.0000 3.6322
P 0.0000 0.0000 6.1147
P 1.9847 1.9847 1.2413
P 1.9847 1.9847 8.5056
Ir 0.0000 1.9847 2.4367
Ir 1.9847 0.0000 7.3101
```

Summary:
crystal system = tetragonal
V = 15.36 Å³ per atom
total DFT energy (no corrections) = -6.544 eV per atom
DOS at the Fermi energy = 2.7 states/eV/f.u.


Calculated energy relative to the elements in order - 1164, -510 meV/atom